VASP calculation (PBE-GGA) on a relaxed structure of Rb2TlSnSe5.

Results
Its formation energy (no corrections) is -538 meV/atom. The magnetization is 0.41 Bohr magnetons per cell. The density comes out at 4634 kg/m3. For the density of states at the Fermi level, the calculation gives 4.02 states/eV/f.u. As for the electronic total energy: -3.3969 eV per atom. Its space group is No. 36.

a = 3.9097 Å, b = 11.4739 Å, c = 14.4115 Å
α = 90.00°, β = 90.00°, γ = 99.81°
With the nearest neighbours (Å) after each atom.
Element x y z (fractional)
Rb 0.8851 0.7702 0.7913  7 Se 3.50-3.92, 2 Rb 3.91
Rb 0.1297 0.2593 0.6825  7 Se 3.54-3.83, 2 Rb 3.91
Rb 0.1149 0.2298 0.2913  7 Se 3.50-3.92, 2 Rb 3.91
Rb 0.8703 0.7407 0.1825  7 Se 3.54-3.83, 2 Rb 3.91
Tl 0.7721 0.5442 0.5325  5 Se 2.66-2.98
Tl 0.2279 0.4558 0.0325  5 Se 2.66-2.98
Sn 0.5659 0.1318 0.9397  4 Se 2.52-2.60
Sn 0.4341 0.8682 0.4397  4 Se 2.52-2.60
Se 0.3412 0.6825 0.9822  1 Tl 2.66
Se 0.6770 0.3541 0.8988  1 Sn 2.58
Se 0.5149 0.0298 0.7844  1 Sn 2.52
Se 0.2856 0.5713 0.6635  2 Tl 2.74
Se 0.9636 0.9271 0.5490  2 Sn 2.60
Se 0.6588 0.3175 0.4822  1 Tl 2.66
Se 0.3230 0.6459 0.3988  1 Sn 2.58
Se 0.4851 0.9702 0.2844  1 Sn 2.52
Se 0.7144 0.4287 0.1635  2 Tl 2.74
Se 0.0364 0.0729 0.0490  2 Sn 2.60

VASP calculation (PBE-GGA) on a relaxed structure of RbTl2SnSe6.

Results
Its formation energy (no corrections) is -362 meV/atom. The magnetization is 0.00 Bohr magnetons per cell. The density comes out at 4640 kg/m3. For the density of states at the Fermi level, the calculation gives 2.32 states/eV/f.u. As for the electronic total energy: -3.4230 eV per atom. Its space group is No. 15.

a = 8.9733 Å, b = 10.1012 Å, c = 10.1012 Å
α = 87.80°, β = 67.71°, γ = 67.71°
With the nearest neighbours (Å) after each atom.
Element x y z (fractional)
Rb 0.2500 0.8208 0.1792  6 Se 3.43-3.75
Rb 0.7500 0.1792 0.8208  6 Se 3.43-3.75
Tl 0.4414 0.7770 0.5982  3 Se 2.81-2.84
Tl 0.0586 0.4018 0.2230  3 Se 2.81-2.84
Tl 0.5586 0.2230 0.4018  3 Se 2.81-2.84
Tl 0.9414 0.5982 0.7770  3 Se 2.81-2.84
Sn 0.2500 0.1367 0.8633  4 Se 2.54-2.61
Sn 0.7500 0.8633 0.1367  4 Se 2.54-2.61
Se 0.1561 0.9223 0.8620  1 Sn 2.61, 1 Tl 2.84
Se 0.3439 0.1380 0.0777  1 Sn 2.61, 1 Tl 2.84
Se 0.8439 0.0777 0.1380  1 Sn 2.61, 1 Tl 2.84
Se 0.6561 0.8620 0.9223  1 Sn 2.61, 1 Tl 2.84
Se 0.4613 0.9210 0.3523  1 Sn 2.54, 1 Tl 2.81
Se 0.0387 0.6477 0.0790  1 Sn 2.54, 1 Tl 2.81
Se 0.5387 0.0790 0.6477  1 Sn 2.54, 1 Tl 2.81
Se 0.9613 0.3523 0.9210  1 Sn 2.54, 1 Tl 2.81
Se 0.2014 0.6474 0.5378  1 Se 2.36
Se 0.2986 0.4622 0.3526  1 Se 2.36
Se 0.7986 0.3526 0.4622  1 Se 2.36
Se 0.7014 0.5378 0.6474  1 Se 2.36

VASP calculation (PBE-GGA) on a relaxed structure of RbTlSnSe3.

Results
Its formation energy (no corrections) is -535 meV/atom. The magnetization is 0.00 Bohr magnetons per cell. The density comes out at 5367 kg/m3. For the density of states at the Fermi level, the calculation gives 0.86 states/eV/f.u. As for the electronic total energy: -3.4996 eV per atom. Its space group is No. 12.

a = 6.7459 Å, b = 6.7459 Å, c = 10.1109 Å
α = 70.64°, β = 70.64°, γ = 94.98°
With the nearest neighbours (Å) after each atom.
Element x y z (fractional)
Rb 0.5402 0.5402 0.7893  6 Se 3.40-3.72
Rb 0.4598 0.4598 0.2107  6 Se 3.40-3.72
Tl 0.2188 0.7812 0.5000  4 Se 3.00-3.31
Tl 0.7812 0.2188 0.5000  4 Se 3.00-3.31
Sn 0.9971 0.9971 0.8527  3 Se 2.57-2.60
Sn 0.0029 0.0029 0.1473  3 Se 2.57-2.60
Se 0.2773 0.2773 0.6010  1 Sn 2.57
Se 0.0342 0.6224 0.8397  1 Sn 2.60
Se 0.6224 0.0342 0.8397  1 Sn 2.60
Se 0.3776 0.9658 0.1603  1 Sn 2.60
Se 0.9658 0.3776 0.1603  1 Sn 2.60
Se 0.7227 0.7227 0.3990  1 Sn 2.57

VASP calculation (PBE-GGA) on a relaxed structure of Rb2TmSnSe4.

Results
Its formation energy (no corrections) is -1053 meV/atom. The magnetization is 0.00 Bohr magnetons per cell. The density comes out at 3964 kg/m3. For the density of states at the Fermi level, the calculation gives 5.35 states/eV/f.u. As for the electronic total energy: -4.0961 eV per atom. Its space group is No. 70.

a = 6.9023 Å, b = 8.2842 Å, c = 12.9486 Å
α = 83.63°, β = 74.54°, γ = 65.38°
With the nearest neighbours (Å) after each atom.
Element x y z (fractional)
Rb 0.1828 0.0000 0.6344  8 Se 3.76-4.14
Rb 0.8172 0.0000 0.3656  8 Se 3.76-4.14
Rb 0.5672 0.5000 0.8656  8 Se 3.76-4.14
Rb 0.9328 0.5000 0.1344  8 Se 3.76-4.14
Tm 0.7500 0.5000 0.5000  4 Se 2.68
Tm 0.0000 0.0000 0.0000  4 Se 2.68
Sn 0.2500 0.5000 0.5000  4 Se 2.73
Sn 0.5000 0.0000 0.0000  4 Se 2.73
Se 0.2932 0.7922 0.1102  1 Tm 2.68, 1 Sn 2.73
Se 0.1955 0.2078 0.8898  1 Tm 2.68, 1 Sn 2.73
Se 0.9147 0.7922 0.8898  1 Tm 2.68, 1 Sn 2.73
Se 0.5966 0.2078 0.1102  1 Tm 2.68, 1 Sn 2.73
Se 0.4568 0.7078 0.3898  1 Tm 2.68, 1 Sn 2.73
Se 0.5545 0.2922 0.6102  1 Tm 2.68, 1 Sn 2.73
Se 0.8353 0.7078 0.6102  1 Tm 2.68, 1 Sn 2.73
Se 0.1534 0.2922 0.3898  1 Tm 2.68, 1 Sn 2.73

VASP calculation (PBE-GGA) on a relaxed structure of Rb3Tm3SnSe8.

Results
Its formation energy (no corrections) is -1441 meV/atom. The magnetization is 0.00 Bohr magnetons per cell. The density comes out at 5228 kg/m3. For the density of states at the Fermi level, the calculation gives 1.62 states/eV/f.u. As for the electronic total energy: -4.6542 eV per atom. Its space group is No. 166.

a = 8.2365 Å, b = 8.2368 Å, c = 9.4663 Å
α = 115.82°, β = 90.00°, γ = 120.00°
With the nearest neighbours (Å) after each atom.
Element x y z (fractional)
Rb 0.0000 0.0000 0.0000  6 Se 3.46-3.47
Rb 0.0000 0.5000 0.0000  6 Se 3.46-3.47
Rb 0.5000 0.5000 0.0000  6 Se 3.46-3.47
Tm 0.5000 0.0000 0.5000  6 Se 2.85-2.86
Tm 0.5000 0.5000 0.5000  6 Se 2.85-2.86
Tm 0.0000 0.5000 0.5000  6 Se 2.85-2.86
Sn 0.0000 0.0000 0.5000  6 Se 2.79
Se 0.2695 0.5390 0.3086  3 Tm 2.85
Se 0.7305 0.4610 0.6914  3 Tm 2.85
Se 0.7742 0.5483 0.3106  1 Sn 2.79, 2 Tm 2.86
Se 0.2258 0.4517 0.6894  1 Sn 2.79, 2 Tm 2.86
Se 0.7742 0.0363 0.3107  1 Sn 2.79, 2 Tm 2.86
Se 0.2258 0.9637 0.6893  1 Sn 2.79, 2 Tm 2.86
Se 0.2621 0.0363 0.3107  1 Sn 2.79, 2 Tm 2.86
Se 0.7379 0.9637 0.6893  1 Sn 2.79, 2 Tm 2.86

VASP calculation (PBE-GGA) on a relaxed structure of Rb3Tm2SnSe6.

Results
Its formation energy (no corrections) is -1373 meV/atom. The magnetization is 0.00 Bohr magnetons per cell. The density comes out at 5329 kg/m3. For the density of states at the Fermi level, the calculation gives 4.48 states/eV/f.u. As for the electronic total energy: -4.4365 eV per atom. Its space group is No. 12.

a = 7.3175 Å, b = 7.3175 Å, c = 8.3378 Å
α = 98.40°, β = 98.40°, γ = 120.00°
With the nearest neighbours (Å) after each atom.
Element x y z (fractional)
Rb 0.1650 0.8350 0.5000  6 Se 3.44-3.47
Rb 0.8350 0.1650 0.5000  6 Se 3.44-3.47
Rb 0.5000 0.5000 0.5000  6 Se 3.43-3.47
Tm 0.3332 0.6668 0.0000  6 Se 2.87
Tm 0.6668 0.3332 0.0000  6 Se 2.87
Sn 0.0000 0.0000 0.0000  6 Se 2.91-2.92
Se 0.9355 0.5973 0.8067  2 Tm 2.87, 1 Sn 2.92
Se 0.7259 0.7259 0.1929  2 Tm 2.87, 1 Sn 2.91
Se 0.0645 0.4027 0.1933  2 Tm 2.87, 1 Sn 2.92
Se 0.5973 0.9355 0.8067  2 Tm 2.87, 1 Sn 2.92
Se 0.2741 0.2741 0.8071  2 Tm 2.87, 1 Sn 2.91
Se 0.4027 0.0645 0.1933  2 Tm 2.87, 1 Sn 2.92

Q: Which formula does entry 2 have?
A: RbTl2SnSe6

Q: Which of these has the highest formation energy (no corrections)?
A: RbTl2SnSe6

Q: Number 2 is which compound?
A: RbTl2SnSe6

Q: What is the formula in the fifth record?
A: Rb3Tm3SnSe8